Here is Sc3Co at its PBEsol-relaxed geometry from Alexandria. Energies are from SCAN.

Computed properties:
**Magnetization**: 0.214 μB per formula unit
**Calculated formation energy**: -0.16 eV/atom
**Raw total energy**: -15.16 eV/atom
**V**: 75.1 Å³ per cell

Cell and atoms, written as extended XYZ:
```
4
Lattice="-1.6229 2.3881 4.8420 1.6229 -2.3881 4.8420 1.6229 2.3881 -4.8420" Properties=species:S:1:pos:R:3 pbc="T T T"
Sc 0.0000 0.0000 0.0000
Sc 1.6229 0.0000 2.9110
Sc 0.0000 2.3881 1.9309
Co 0.0000 0.0000 4.8420
```